Material: UMn2Tl3O6
Method: DFT, PBE with a Hubbard U
State: optimized geometry

It has space group C2/m (No. 12), with a = 5.745 Å, b = 9.948 Å, c = 7.228 Å, α = 90.00°, β = 105.71° and γ = 90.00°. The inequivalent atoms are U at (0.000, 0.000, 0.000), Mn at (0.000, 0.333, 0.000), Tl at (0.000, 0.167, 0.500), Tl at (0.000, 0.500, 0.500), O at (0.211, 0.158, 0.157) and O at (0.238, 0.500, 0.157).

For the total energy, the calculation gives -6.967 eV per atom. As for the calculated density: 8.828 Mg/m³. The size of the total moment is 20.13 μB/cell.